# 1
DFT (PBE) results for a relaxed RbSn2Pt crystal.

Values from the calculation:
Its volume is 31.88 Å³ per atom. The formation energy comes out at -38.58 kJ per mole of atoms. The total energy comes out at -4.1533 eV/atom. The density of states at the Fermi level comes out at 0.49 states/eV/atom.

Cell: 4.414 7.795 7.414 Å, 90.00 90.00 90.00°
Space group Pmmn (No. 59, origin choice 2)
Symmetry-distinct sites (fractional):
Rb: 0.250 0.250 0.111 x2
Sn: 0.250 0.048 0.645 x4
Pt: 0.250 0.750 0.443 x2



# 2
DFT (PBE) results for a relaxed Pm2Ag4S5 crystal.

Values from the calculation:
Its volume is 23.35 Å³ per atom. The total energy comes out at -4.5640 eV/atom. Its uncorrected formation energy is -0.79 eV per atom. The density of states at the Fermi level comes out at 0.46 states/eV/atom.

Cell: 4.1299 4.1299 52.1587 Å, 90.00 90.00 120.00°
Space group R-3m (No. 166, hexagonal axes)
Symmetry-distinct sites (fractional):
Pm: 0.0000 0.0000 0.1349 x6
Ag: 0.0000 0.0000 0.3079 x6
Ag: 0.0000 0.0000 0.4143 x6
S: 0.0000 0.0000 0.2276 x6
S: 0.0000 0.0000 0.3673 x6
S: 0.0000 0.0000 0.5000 x3



- What is the volume in the first record?
  31.88 Å³ per atom